(1)
Compound: ZrOs2RuI
Source: Alexandria
Functional: PBE-GGA
Structure: optimized geometry

```
5
Lattice="4.735 0.000 0.000 0.000 4.735 0.000 0.000 0.000 5.118" Properties=species:S:1:pos:R:3 pbc="T T T"
Zr 0.000 0.000 0.000
Os 0.000 2.367 2.559
Os 2.367 0.000 2.559
Ru 2.367 2.367 0.000
I 0.000 0.000 2.559
```

Computed properties:
V, Å³/cell: 115
ΔE_f (raw), eV per atom: 2.442
Space group: P4/mmm (123)

=====

(2)
Compound: OsSI2
Source: Alexandria
Functional: PBE-GGA
Structure: optimized geometry

```
4
Lattice="0.000 3.461 3.461 3.461 0.000 3.461 3.461 3.461 0.000" Properties=species:S:1:pos:R:3 pbc="T T T"
Os 0.000 0.000 0.000
S 3.461 3.461 3.461
I 1.730 1.730 1.730
I 5.191 5.191 5.191
```

Computed properties:
V, Å³/cell: 83
ΔE_f (raw), eV per atom: 1.411
Space group: Fm-3m (225)

=====

(3)
Compound: OsSI
Source: Alexandria
Functional: PBE-GGA
Structure: optimized geometry

```
6
Lattice="6.802 -1.792 0.000 6.802 1.792 0.000 -1.565 0.000 7.068" Properties=species:S:1:pos:R:3 pbc="T T T"
Os 2.881 0.000 0.951
Os 9.157 0.000 6.117
S 0.854 0.000 5.819
S 11.185 0.000 1.249
I 4.022 0.000 4.987
I 8.017 0.000 2.082
```

Computed properties:
V, Å³/cell: 172
ΔE_f (raw), eV per atom: 0.075
Space group: C2/m (12)

=====

(4)
Compound: Os3SI
Source: Alexandria
Functional: PBE-GGA
Structure: optimized geometry

```
5
Lattice="4.469 0.000 0.000 0.000 4.469 0.000 0.000 0.000 4.469" Properties=species:S:1:pos:R:3 pbc="T T T"
Os 0.000 0.000 2.235
Os 0.000 2.235 0.000
Os 2.235 0.000 0.000
S 0.000 0.000 0.000
I 2.235 2.235 2.235
```

Computed properties:
V, Å³/cell: 89
ΔE_f (raw), eV per atom: 1.667
Space group: Pm-3m (221)